Entry 1:
Ce4Ge12Os | PBE | optimized geometry

Values from the calculation:
Formation enthalpy at 0 K: -0.47 eV per atom

Cell lengths 8.741, 8.741, 8.741 Å; angles 90.00, 90.00, 90.00 degrees
Space group Im-3m (No. 229)
Unique sites:
Ce (0.250, 0.250, 0.250) (multiplicity 8)
Ge (0.000, 0.000, 0.292) (multiplicity 12)
Ge (0.000, 0.250, 0.500) (multiplicity 12)
Os (0.000, 0.000, 0.000) (multiplicity 2)



Entry 2:
SrLiSe2Br | PBE | optimized geometry

Values from the calculation:
Polymorph energy (0 for the lowest one): 0.00 kcal/mol of atoms

Cell lengths 4.686, 4.686, 5.762 Å; angles 90.00, 90.00, 90.00 degrees
Space group P4/mmm (No. 123)
Unique sites:
Sr (0.000, 0.000, 0.000) (multiplicity 1)
Li (0.500, 0.500, 0.500) (multiplicity 1)
Se (0.000, 0.500, 0.500) (multiplicity 2)
Br (0.500, 0.500, 0.000) (multiplicity 1)



Entry 3:
B5C7 | PBE | optimized geometry

Values from the calculation:
Polymorph energy (0 for the lowest one): 1.85 kcal/mol of atoms
Formation enthalpy at 0 K: 0.34 eV per atom

Cell lengths 2.541, 8.033, 3.940 Å; angles 90.00, 90.00, 90.00 degrees
Space group Pmm2 (No. 25)
Unique sites:
B (0.000, 0.000, 0.000) (multiplicity 1)
B (0.000, 0.356, 0.080) (multiplicity 2)
B (0.500, 0.000, 0.324) (multiplicity 1)
B (0.500, 0.500, 0.537) (multiplicity 1)
C (0.000, 0.154, 0.745) (multiplicity 2)
C (0.000, 0.500, 0.810) (multiplicity 1)
C (0.500, 0.181, 0.551) (multiplicity 2)
C (0.500, 0.327, 0.310) (multiplicity 2)



Entry 4:
Cs2BaSe | PBE | optimized geometry

Values from the calculation:
Polymorph energy (0 for the lowest one): 4.82 kcal/mol of atoms

Cell lengths 5.0412, 5.0412, 40.2466 Å; angles 90.00, 90.00, 120.00 degrees
Space group R-3m (No. 166, hexagonal axes)
Unique sites:
Cs (0.0000, 0.0000, 0.1216) (multiplicity 6)
Ba (0.0000, 0.0000, 0.0000) (multiplicity 3)
Se (0.0000, 0.0000, 0.5000) (multiplicity 3)



Entry 5:
PmSm2 | PBE | optimized geometry

Values from the calculation:
Polymorph energy (0 for the lowest one): 0.20 kcal/mol of atoms
Formation enthalpy at 0 K: 0.01 eV per atom

Cell lengths 3.635, 3.635, 15.441 Å; angles 90.00, 90.00, 90.00 degrees
Space group I4/mmm (No. 139)
Unique sites:
Pm (0.000, 0.000, 0.000) (multiplicity 2)
Sm (0.000, 0.000, 0.333) (multiplicity 4)



Entry 6:
NaBe3C | PBE | optimized geometry

Values from the calculation:
Polymorph energy (0 for the lowest one): 0.00 kcal/mol of atoms
Formation enthalpy at 0 K: 0.68 eV per atom

Cell lengths 3.721, 3.721, 3.721 Å; angles 90.00, 90.00, 90.00 degrees
Space group Pm-3m (No. 221)
Unique sites:
Na (0.000, 0.000, 0.000) (multiplicity 1)
Be (0.000, 0.500, 0.500) (multiplicity 3)
C (0.500, 0.500, 0.500) (multiplicity 1)



Entry 7:
LiTbPtRh | PBE | optimized geometry

Values from the calculation:
Polymorph energy (0 for the lowest one): 0.94 kcal/mol of atoms
Formation enthalpy at 0 K: -0.70 eV per atom

Cell lengths 6.533, 6.533, 6.533 Å; angles 90.00, 90.00, 90.00 degrees
Space group F-43m (No. 216)
Unique sites:
Li (0.000, 0.000, 0.000) (multiplicity 4)
Tb (0.000, 0.000, 0.500) (multiplicity 4)
Pt (0.250, 0.250, 0.750) (multiplicity 4)
Rh (0.250, 0.250, 0.250) (multiplicity 4)



Entry 8:
K3Np3RuSe8 | PBE | optimized geometry

Values from the calculation:
Energy: -6.301 eV/atom

Cell lengths 13.992, 8.088, 9.218 Å; angles 90.00, 120.27, 90.00 degrees
Space group C2/m (No. 12)
Unique sites:
K (0.000, 0.000, 0.000) (multiplicity 2)
K (0.250, 0.250, 0.000) (multiplicity 4)
Np (0.000, 0.500, 0.500) (multiplicity 2)
Np (0.250, 0.250, 0.500) (multiplicity 4)
Ru (0.000, 0.000, 0.500) (multiplicity 2)
Se (0.013, 0.230, 0.309) (multiplicity 8)
Se (0.218, 0.000, 0.691) (multiplicity 4)
Se (0.237, 0.500, 0.712) (multiplicity 4)



Entry 9:
Pr2NdSmTm2 | PBE | optimized geometry

Values from the calculation:
Formation enthalpy at 0 K: 0.07 eV per atom

Cell lengths 7.080, 9.917, 5.729 Å; angles 90.00, 90.00, 90.00 degrees
Space group Pnnm (No. 58)
Unique sites:
Pr (0.250, 0.167, 0.000) (multiplicity 4)
Nd (0.000, 0.000, 0.500) (multiplicity 2)
Sm (0.000, 0.500, 0.000) (multiplicity 2)
Tm (0.250, 0.334, 0.500) (multiplicity 4)



Entry 10:
TcAgBr2 | PBE | optimized geometry

Values from the calculation:
Polymorph energy (0 for the lowest one): 9.01 kcal/mol of atoms

Cell lengths 3.579, 4.215, 6.428 Å; angles 90.00, 90.00, 90.00 degrees
Space group Pmmm (No. 47)
Unique sites:
Tc (0.000, 0.000, 0.000) (multiplicity 1)
Ag (0.500, 0.000, 0.500) (multiplicity 1)
Br (0.000, 0.500, 0.500) (multiplicity 1)
Br (0.500, 0.500, 0.000) (multiplicity 1)



Entry 11:
Zr2SbIrOs | PBE | optimized geometry

Values from the calculation:
Energy: -7.557 eV/atom

Cell lengths 5.009, 5.009, 4.858 Å; angles 90.00, 90.00, 90.00 degrees
Space group P4/mmm (No. 123)
Unique sites:
Zr (0.000, 0.500, 0.000) (multiplicity 2)
Sb (0.000, 0.000, 0.500) (multiplicity 1)
Ir (0.500, 0.500, 0.500) (multiplicity 1)
Os (0.000, 0.000, 0.000) (multiplicity 1)



Entry 12:
TmLuMgHg | PBE | optimized geometry

Values from the calculation:
Formation enthalpy at 0 K: -0.25 eV per atom

Cell lengths 7.368, 7.368, 7.368 Å; angles 90.00, 90.00, 90.00 degrees
Space group F-43m (No. 216)
Unique sites:
Tm (0.000, 0.000, 0.000) (multiplicity 4)
Lu (0.000, 0.000, 0.500) (multiplicity 4)
Mg (0.250, 0.250, 0.750) (multiplicity 4)
Hg (0.250, 0.250, 0.250) (multiplicity 4)



The records above give, respectively, DOS(E_F) values of 33.24 1.39 0.78 13.88 8.04 1.12 5.93 44.94 19.03 2.36 5.53 15.47 states/eV/cell.